Entry from the Alexandria database: a relaxed structure of LiY2Mg2 (PBE-GGA).

Calculated values
**Energy above the most stable polymorph in this dataset**: 0.2611 eV/atom
**Space group**: No. 139
**Formation energy**: 0.318 eV per atom
**Calculated density**: 2.50 g cm⁻³
**Final energy**: -3.288 eV per atom
**Size of the total moment**: 0.00 μB/f.u.

Cell lengths 4.4871, 4.4871, 15.3889 Å; angles 90.00, 90.00, 90.00 degrees
Atoms (fractional coordinates):
Li: 0.0000 0.0000 0.0000
Li: 0.5000 0.5000 0.5000
Y: 0.0000 0.5000 0.2500
Y: 0.0000 0.5000 0.7500
Y: 0.5000 0.0000 0.2500
Y: 0.5000 0.0000 0.7500
Mg: 0.0000 0.0000 0.4067
Mg: 0.0000 0.0000 0.5933
Mg: 0.5000 0.5000 0.0933
Mg: 0.5000 0.5000 0.9067